# 1
MnC3O | GGA+U | relaxed

Computed properties:
Excess energy over the best structure of this formula in the dataset, meV per atom: 119
Calculated density, g/cm³: 3.7
Space-group type: Pm-3m (221)
E_tot, eV/atom: -5.197

abc: 3.643 3.643 3.643
angles: 90.00 90.00 90.00
Positions (direct):
Mn  0.000  0.000  0.000
C  0.000  0.500  0.500
C  0.500  0.000  0.500
C  0.500  0.500  0.000
O  0.500  0.500  0.500

***

# 2
LiCo2O4 | GGA+U | relaxed

Computed properties:
Excess energy over the best structure of this formula in the dataset, meV per atom: 49
Calculated density, g/cm³: 4.8
Space-group type: Imma (74)
E_tot, eV/atom: -5.672

abc: 5.656 5.656 5.656
angles: 119.75 118.70 91.35
Positions (direct):
Li  0.500  0.000  0.000
Li  0.500  0.500  0.500
Co  0.000  0.000  0.000
Co  0.000  0.000  0.500
Co  0.000  0.500  0.000
Co  0.500  0.000  0.500
O  0.216  0.241  0.975
O  0.234  0.759  0.475
O  0.235  0.205  0.469
O  0.235  0.766  0.031
O  0.765  0.234  0.969
O  0.765  0.795  0.531
O  0.766  0.241  0.525
O  0.784  0.759  0.025